Entry from Alexandria via LeMat-Bulk: crystalline Cs2ScMn3F12 at its relaxed geometry (PBE+U).

```
Cs2ScMn3F12
1.0
-7.201 2.580 1.425
-3.970 -2.254 6.301
-1.495 4.904 5.853
Cs Sc Mn F
2 1 3 12
direct
0.621 0.621 0.621 Cs
0.379 0.379 0.379 Cs
0.000 0.000 0.000 Sc
0.500 0.000 0.000 Mn
0.000 0.500 0.000 Mn
0.000 0.000 0.500 Mn
0.316 0.316 0.931 F
0.929 0.929 0.316 F
0.316 0.929 0.929 F
0.931 0.316 0.316 F
0.929 0.316 0.929 F
0.316 0.931 0.316 F
0.684 0.684 0.069 F
0.071 0.071 0.684 F
0.684 0.071 0.071 F
0.069 0.684 0.684 F
0.071 0.684 0.071 F
0.684 0.069 0.684 F
```

Calculated total energy, eV per atom: -5.952
Symmetry: R-3m (166)